The following is a DFT calculation (PBE+U) of a relaxed structure of CrOF2.

density of states at the Fermi level: 8.3 states/eV/cell
electronic total energy: -5.07 eV per atom

Cell: 3.3408 3.3408 20.6679 Å, 90.00 90.00 120.00°
Last column: nearest neighbours and their distance in Å.
Space group R-3m (No. 166, hexagonal axes)
Inequivalent atoms, fractional coordinates:
Cr1 0.0000 0.0000 0.0000 [3 per cell]  6 F 2.10
O1 0.0000 0.0000 0.5000 [3 per cell]  2 F 2.60
F1 0.0000 0.0000 0.3740 [6 per cell]  3 Cr 2.10